# 1
{"formula": "SrCuSCl2", "functional": "PBE-GGA", "state": "relaxed", "cell": [[5.5350, 0.0000, 0.0000], [0.0000, 5.5350, 0.0000], [0.0000, 0.0000, 5.8920]], "species": ["Sr", "Cu", "S", "Cl", "Cl"], "frac_coords": [[0.0000, 0.0000, 0.0000], [0.5000, 0.5000, 0.5000], [0.0000, 0.0000, 0.5000], [0.0000, 0.5000, 0.0000], [0.5000, 0.0000, 0.0000]], "polymorph_energy_mev_per_atom": 766.1, "n_ef_per_ev_atom": 1.027, "space_group": "P4/mmm (123)", "energy_ev_per_atom": -3.119, "total_magnetization_mub_per_cell": 1.0, "raw_formation_energy_ev_per_atom": -0.400}

# 2
{"formula": "LaYTl", "functional": "PBE-GGA", "state": "relaxed", "cell": [[-1.8435, 2.2700, 5.5252], [1.8435, -2.2700, 5.5252], [1.8435, 2.2700, -5.5252]], "species": ["La", "Y", "Tl"], "frac_coords": [[0.0000, 0.0000, 0.0000], [0.3026, 0.3026, 0.0000], [0.6678, 0.6678, 0.0000]], "polymorph_energy_mev_per_atom": 77.3, "n_ef_per_ev_atom": 1.199, "formation_enthalpy_0k_mev_per_atom": -212, "space_group": "Imm2 (44)", "energy_ev_per_atom": -4.798, "total_magnetization_mub_per_cell": 0.4}

# 3
{"formula": "ScHgMo2", "functional": "PBE-GGA", "state": "relaxed", "cell": [[2.8705, 0.0000, 0.0000], [0.0000, 4.9105, 0.0000], [-0.7339, 0.0000, 5.2439]], "species": ["Sc", "Hg", "Mo", "Mo"], "frac_coords": [[0.0000, 0.0000, 0.0000], [0.5000, 0.0000, 0.5000], [0.3121, 0.5000, 0.7771], [0.6879, 0.5000, 0.2229]], "n_ef_per_ev_atom": 0.848, "formation_enthalpy_0k_mev_per_atom": 266, "space_group": "P2/m (10)", "energy_ev_per_atom": -6.808, "total_magnetization_mub_per_cell": 0.0}